(1)
## Mg2Ir3 (PBEsol)

Data for a relaxed Mg2Ir3 crystal.

## Properties
ΔH_f (0 K): -120 meV per atom
M_tot: 0.00 μB/f.u.
energy above the most stable polymorph in this dataset: 179 meV per atom
SG: R-3m

a b c (Å): 2.787 2.787 11.068
angles (deg): 82.77 82.77 60.00
Sites, in units of the cell vectors:
Ir: 0.000 0.000 0.000
Ir: 0.200 0.200 0.401
Ir: 0.800 0.800 0.599
Mg: 0.400 0.400 0.800
Mg: 0.600 0.600 0.200


(2)
## Y3PdBr (PBEsol)

Data for a relaxed Y3PdBr crystal.

## Properties
M_tot: 0.00 μB/f.u.
SG: Pm-3m
ΔE_f (raw): -152 kJ/mol of formula units

a b c (Å): 5.396 5.396 5.396
angles (deg): 90.00 90.00 90.00
Sites, in units of the cell vectors:
Y: 0.000 0.500 0.000
Y: 0.000 0.000 0.500
Y: 0.500 0.000 0.000
Br: 0.500 0.500 0.500
Pd: 0.000 0.000 0.000


(3)
## LaScPtO2 (PBEsol)

Data for a relaxed LaScPtO2 crystal.

## Properties
M_tot: 0.00 μB/f.u.
SG: P4/mmm
ΔE_f (raw): -519 kJ/mol of formula units

a b c (Å): 4.264 4.264 5.736
angles (deg): 90.00 90.00 90.00
Sites, in units of the cell vectors:
Sc: 0.500 0.500 0.500
O: 0.000 0.500 0.000
O: 0.500 0.000 0.000
Pt: 0.000 0.000 0.500
La: 0.000 0.000 0.000


- Which value of M_tot does entry 2 give?
  0.00 μB/f.u.